No. 1
VASP calculation (PBE) on a geometry-optimized Te2HS structure.

Geometry as extended XYZ:
```
4
Lattice="3.134 -4.216 6.511 4.674 -5.808 3.796 6.016 -2.834 5.075" Properties=species:S:1:pos:R:3 pbc="T T T"
H 0.000 0.000 0.000
Te 1.123 -1.045 1.250
Te 12.700 -11.813 14.132
S 6.912 -6.429 7.691
```

Crystal system ... trigonal
Uncorrected energy ... -2.969 eV/atom
Distance to the lowest polymorph of the same formula ... 0 meV/atom

No. 2
VASP calculation (PBE) on a geometry-optimized GdZnSn structure.

Geometry as extended XYZ:
```
3
Lattice="-0.860 3.137 -2.602 -1.251 -2.938 -3.129 -3.005 1.586 2.906" Properties=species:S:1:pos:R:3 pbc="T T T"
Zn -0.086 0.313 -0.260
Gd -2.426 0.724 -2.904
Sn -2.604 0.748 0.338
```

Crystal system ... trigonal
Uncorrected energy ... -6.985 eV/atom
Energy of formation ... -12.3 kcal/mol of atoms

What is the uncorrected energy in the second record? -6.985 eV/atom